VASP calculation (GGA-PBE) on a geometry-optimized InPdSCl2 structure.

Unit cell a=5.0466 b=5.0466 c=5.1120 alpha=90.00 beta=90.00 gamma=90.00
Fractional positions:
In1 0.0000 0.0000 0.0000
Pd1 0.5000 0.5000 0.5000
S1 0.0000 0.0000 0.5000
Cl1 0.0000 0.5000 0.0000
Cl2 0.5000 0.0000 0.0000

Calculated values
Energy relative to the elements, uncorrected ... 0.455 eV per formula unit
Energy above the lowest structure with this stoichiometry ... 352 meV/atom